(1)
VASP calculation (PBE) on a geometry-optimized Np3SbN2 structure.

## Properties
The density of states at the Fermi level is 2.80 states/eV per atom. The calculation puts the electronic total energy at -10.569 eV per atom. The value obtained for the formation energy from raw total energies is -368 kJ/mol of formula units. As for the magnetization: 0.737 μB per atom.

a b c (Å): 4.561 4.561 6.666
angles (deg): 110.00 110.00 90.00
Last column: magnetic moment on the atom in μB.
Sites, in units of the cell vectors:
1 Np 0.750 0.250 0.500  3.79
2 Np 0.500 0.500 0.000  -3.32
3 Np 0.250 0.750 0.500  3.79
4 Sb 0.000 0.000 0.000  -0.01
5 N 0.689 0.689 0.379  -0.04
6 N 0.311 0.311 0.621  -0.04

(2)
VASP calculation (PBE) on a geometry-optimized Y2TiGa4Pt3 structure.

## Properties
The density of states at the Fermi level is 0.66 states/eV per atom. The calculation puts the electronic total energy at -5.974 eV per atom. The value obtained for the energy relative to the elements is -0.8684 eV/atom. As for the magnetization: 0.000 μB per atom.

a b c (Å): 4.056 4.056 11.476
angles (deg): 90.00 90.00 90.00
Sites, in units of the cell vectors:
1 Y 0.500 0.000 0.252
2 Y 0.000 0.500 0.748
3 Ti 0.500 0.500 0.500
4 Ga 0.500 0.500 0.000
5 Ga 0.000 0.000 0.000
6 Ga 0.500 0.000 0.645
7 Ga 0.000 0.500 0.355
8 Pt 0.000 0.000 0.500
9 Pt 0.500 0.000 0.862
10 Pt 0.000 0.500 0.138

(3)
VASP calculation (PBE) on a geometry-optimized Co4Te structure.

## Properties
The density of states at the Fermi level is 1.93 states/eV per atom. The calculation puts the electronic total energy at -4.848 eV per atom. The value obtained for the formation energy from raw total energies is 707 kJ/mol of formula units. The calculation puts the relative energy among the computed polymorphs at 616 kJ/mol of formula units. As for the magnetization: 1.189 μB per atom.

a b c (Å): 4.587 4.587 4.587
angles (deg): 90.00 90.00 90.00
Last column: magnetic moment on the atom in μB.
Sites, in units of the cell vectors:
1 Te 0.500 0.500 0.500  0.01
2 Co 0.000 0.000 0.000  2.11
3 Co 0.500 0.000 0.500  1.36
4 Co 0.000 0.500 0.500  1.36
5 Co 0.500 0.500 0.000  1.36

(4)
VASP calculation (PBE) on a geometry-optimized Li2Ni5Ge4 structure.

## Properties
The density of states at the Fermi level is 0.52 states/eV per atom. The calculation puts the electronic total energy at -4.919 eV per atom. The value obtained for the energy relative to the elements is -0.2646 eV/atom. As for the magnetization: 0.000 μB per atom.

a b c (Å): 5.066 5.061 7.857
angles (deg): 80.71 71.19 59.97
Sites, in units of the cell vectors:
1 Li 0.900 0.000 0.200
2 Li 0.100 0.000 0.800
3 Ni 0.500 0.000 0.000
4 Ni 0.000 0.500 0.000
5 Ni 0.500 0.500 0.000
6 Ni 0.250 0.500 0.500
7 Ni 0.750 0.500 0.500
8 Ge 0.466 0.324 0.744
9 Ge 0.534 0.676 0.256
10 Ge 0.210 0.324 0.256
11 Ge 0.790 0.676 0.744

(5)
VASP calculation (PBE) on a geometry-optimized Ho2ScPd structure.

## Properties
The density of states at the Fermi level is 0.88 states/eV per atom. The calculation puts the electronic total energy at -5.486 eV per atom. The calculation puts the relative energy among the computed polymorphs at 47 kJ/mol of formula units. The value obtained for the energy relative to the elements is -0.3165 eV/atom. As for the magnetization: 0.000 μB per atom.

a b c (Å): 3.678 5.079 5.079
angles (deg): 90.00 90.00 90.00
Sites, in units of the cell vectors:
1 Sc 0.500 0.500 0.500
2 Ho 0.000 0.000 0.500
3 Ho 0.000 0.500 0.000
4 Pd 0.500 0.000 0.000

(6)
VASP calculation (PBE) on a geometry-optimized Ta2MnIn structure.

## Properties
The density of states at the Fermi level is 0.79 states/eV per atom. The calculation puts the electronic total energy at -8.341 eV per atom. The value obtained for the energy relative to the elements is 0.5625 eV/atom. As for the magnetization: 0.000 μB per atom.

a b c (Å): 7.394 7.394 5.890
angles (deg): 51.12 51.12 90.00
Sites, in units of the cell vectors:
1 In 0.000 0.000 0.000
2 In 0.750 0.250 0.500
3 Mn 0.500 0.500 0.000
4 Mn 0.250 0.750 0.500
5 Ta 0.564 0.125 0.250
6 Ta 0.186 0.625 0.250
7 Ta 0.375 0.436 0.750
8 Ta 0.875 0.814 0.750